# 1
This record from the Alexandria database describes an optimized crystal structure of SmTmCdIn. The functional is PBE.

Structure (POSCAR):
```
SmTmCdIn
1.0
7.529 0.000 0.000
0.000 7.529 0.000
0.000 0.000 7.529
Sm Tm Cd In
4 4 4 4
Direct
0.000 0.000 0.000 Sm
0.000 0.500 0.500 Sm
0.500 0.000 0.500 Sm
0.500 0.500 0.000 Sm
0.000 0.000 0.500 Tm
0.000 0.500 0.000 Tm
0.500 0.000 0.000 Tm
0.500 0.500 0.500 Tm
0.250 0.250 0.250 Cd
0.250 0.750 0.750 Cd
0.750 0.250 0.750 Cd
0.750 0.750 0.250 Cd
0.250 0.250 0.750 In
0.250 0.750 0.250 In
0.750 0.250 0.250 In
0.750 0.750 0.750 In
```

Summary:
The value obtained for the density is 8.504 g/cm3. The density of states at the Fermi level comes out at 3.990 states/eV/f.u. For the total magnetic moment, the calculation gives 0.00 Bohr magnetons per cell. The symmetry is No. 216.

---

# 2
This record from the Alexandria database describes an optimized crystal structure of Sm2YCd2In2. The functional is PBE.

Structure (POSCAR):
```
Sm2YCd2In2
1.0
2.474 1.428 9.129
-2.474 1.428 9.129
0.000 -2.857 9.129
Sm Y Cd In
2 1 2 2
Direct
0.128 0.128 0.128 Sm
0.872 0.872 0.872 Sm
0.000 0.000 0.000 Y
0.394 0.394 0.394 Cd
0.606 0.606 0.606 Cd
0.261 0.261 0.261 In
0.739 0.739 0.739 In
```

Summary:
The value obtained for the density is 7.241 g/cm3. The density of states at the Fermi level comes out at 4.061 states/eV/f.u. For the total magnetic moment, the calculation gives 0.00 Bohr magnetons per cell. The symmetry is No. 166.

---

# 3
This record from the Alexandria database describes an optimized crystal structure of SmYCdIn. The functional is PBE.

Structure (POSCAR):
```
SmYCdIn
1.0
7.581 0.000 0.000
0.000 7.581 0.000
0.000 0.000 7.581
Sm Y Cd In
4 4 4 4
Direct
0.000 0.000 0.000 Sm
0.000 0.500 0.500 Sm
0.500 0.000 0.500 Sm
0.500 0.500 0.000 Sm
0.000 0.000 0.500 Y
0.000 0.500 0.000 Y
0.500 0.000 0.000 Y
0.500 0.500 0.500 Y
0.250 0.250 0.250 Cd
0.250 0.750 0.750 Cd
0.750 0.250 0.750 Cd
0.750 0.750 0.250 Cd
0.250 0.250 0.750 In
0.250 0.750 0.250 In
0.750 0.250 0.250 In
0.750 0.750 0.750 In
```

Summary:
The value obtained for the density is 7.111 g/cm3. The density of states at the Fermi level comes out at 4.025 states/eV/f.u. For the total magnetic moment, the calculation gives 0.00 Bohr magnetons per cell. The symmetry is No. 216.

---

# 4
This record from the Alexandria database describes an optimized crystal structure of SmZnCdIn. The functional is PBE.

Structure (POSCAR):
```
SmZnCdIn
1.0
7.174 0.000 0.000
0.000 7.174 0.000
0.000 0.000 7.174
Sm Zn Cd In
4 4 4 4
Direct
0.000 0.000 0.000 Sm
0.000 0.500 0.500 Sm
0.500 0.000 0.500 Sm
0.500 0.500 0.000 Sm
0.250 0.250 0.750 Zn
0.250 0.750 0.250 Zn
0.750 0.250 0.250 Zn
0.750 0.750 0.750 Zn
0.250 0.250 0.250 Cd
0.250 0.750 0.750 Cd
0.750 0.250 0.750 Cd
0.750 0.750 0.250 Cd
0.000 0.000 0.500 In
0.000 0.500 0.000 In
0.500 0.000 0.000 In
0.500 0.500 0.500 In
```

Summary:
The value obtained for the density is 7.971 g/cm3. The density of states at the Fermi level comes out at 2.331 states/eV/f.u. For the total magnetic moment, the calculation gives 0.00 Bohr magnetons per cell. The symmetry is No. 216.

---

# 5
This record from the Alexandria database describes an optimized crystal structure of Cd2In5Sn2. The functional is PBE.

Structure (POSCAR):
```
Cd2In5Sn2
1.0
5.899 -2.810 0.000
5.899 2.810 0.000
-3.439 0.000 7.305
Cd In Sn
2 5 2
Direct
0.100 0.100 0.439 Cd
0.900 0.900 0.561 Cd
0.000 0.000 0.000 In
0.229 0.229 0.885 In
0.319 0.319 0.335 In
0.681 0.681 0.665 In
0.771 0.771 0.115 In
0.452 0.452 0.775 Sn
0.548 0.548 0.225 Sn
```

Summary:
The value obtained for the density is 7.105 g/cm3. The density of states at the Fermi level comes out at 2.642 states/eV/f.u. For the total magnetic moment, the calculation gives 0.00 Bohr magnetons per cell. The symmetry is No. 12. The value obtained for the polymorph energy (0 for the lowest one) is 0 meV per atom.

---

# 6
This record from the Alexandria database describes an optimized crystal structure of Cd5InSn8. The functional is PBE.

Structure (POSCAR):
```
Cd5InSn8
1.0
-4.677 4.677 4.406
4.677 -4.677 4.406
4.677 4.677 -4.406
Cd In Sn
5 1 8
Direct
0.000 0.000 0.000 Cd
0.235 0.521 0.941 Cd
0.479 0.420 0.714 Cd
0.580 0.294 0.059 Cd
0.706 0.765 0.286 Cd
0.250 0.750 0.500 In
0.114 0.057 0.679 Sn
0.378 0.435 0.321 Sn
0.436 0.040 0.283 Sn
0.565 0.886 0.943 Sn
0.758 0.153 0.717 Sn
0.847 0.564 0.604 Sn
0.943 0.622 0.057 Sn
0.960 0.242 0.396 Sn
```

Summary:
The value obtained for the density is 7.004 g/cm3. The density of states at the Fermi level comes out at 4.347 states/eV/f.u. For the total magnetic moment, the calculation gives 0.00 Bohr magnetons per cell. The symmetry is No. 82.

---

# 7
This record from the Alexandria database describes an optimized crystal structure of Cd4In3Sn2. The functional is PBE.

Structure (POSCAR):
```
Cd4In3Sn2
1.0
5.588 0.000 0.000
1.824 6.378 0.000
2.526 1.319 6.741
Cd In Sn
4 3 2
Direct
0.112 0.399 0.284 Cd
0.316 0.188 0.882 Cd
0.684 0.812 0.118 Cd
0.888 0.601 0.716 Cd
0.301 0.713 0.883 In
0.500 0.500 0.500 In
0.699 0.287 0.117 In
0.079 0.897 0.307 Sn
0.921 0.103 0.693 Sn
```

Summary:
The value obtained for the density is 7.129 g/cm3. The density of states at the Fermi level comes out at 3.253 states/eV/f.u. For the total magnetic moment, the calculation gives 0.00 Bohr magnetons per cell. The symmetry is No. 2. The value obtained for the polymorph energy (0 for the lowest one) is 19 meV per atom.

---

# 8
This record from the Alexandria database describes an optimized crystal structure of CdIn5Sn4. The functional is PBE.

Structure (POSCAR):
```
CdIn5Sn4
1.0
3.858 0.000 0.000
0.000 3.858 0.000
0.000 0.000 18.204
Cd In Sn
1 5 4
Direct
0.000 0.000 0.000 Cd
0.500 0.500 0.096 In
0.500 0.500 0.298 In
0.500 0.500 0.500 In
0.500 0.500 0.702 In
0.500 0.500 0.904 In
0.000 0.000 0.197 Sn
0.000 0.000 0.396 Sn
0.000 0.000 0.604 Sn
0.000 0.000 0.803 Sn
```

Summary:
The value obtained for the density is 7.117 g/cm3. The density of states at the Fermi level comes out at 2.481 states/eV/f.u. For the total magnetic moment, the calculation gives 0.00 Bohr magnetons per cell. The symmetry is No. 123.

---

# 9
This record from the Alexandria database describes an optimized crystal structure of Cd3In2Sn. The functional is PBE.

Structure (POSCAR):
```
Cd3In2Sn
1.0
4.409 -3.347 0.000
4.409 3.347 0.000
-4.131 0.000 10.274
Cd In Sn
6 4 2
Direct
0.126 0.874 0.750 Cd
0.207 0.459 0.915 Cd
0.459 0.207 0.415 Cd
0.541 0.793 0.585 Cd
0.793 0.541 0.085 Cd
0.874 0.126 0.250 Cd
0.045 0.289 0.581 In
0.289 0.045 0.081 In
0.711 0.955 0.919 In
0.955 0.711 0.419 In
0.374 0.626 0.250 Sn
0.626 0.374 0.750 Sn
```

Summary:
The value obtained for the density is 7.509 g/cm3. The density of states at the Fermi level comes out at 2.265 states/eV/f.u. For the total magnetic moment, the calculation gives 0.00 Bohr magnetons per cell. The symmetry is No. 15.

---

# 10
This record from the Alexandria database describes an optimized crystal structure of CdIn6Sn4. The functional is PBE.

Structure (POSCAR):
```
CdIn6Sn4
1.0
-3.108 3.108 8.062
3.108 -3.108 8.062
3.108 3.108 -8.062
Cd In Sn
1 6 4
Direct
0.000 0.000 0.000 Cd
0.000 0.500 0.500 In
0.010 0.627 0.000 In
0.373 0.373 0.384 In
0.500 0.000 0.500 In
0.627 0.010 0.000 In
0.990 0.990 0.616 In
0.193 0.193 0.637 Sn
0.444 0.807 0.000 Sn
0.556 0.556 0.363 Sn
0.807 0.444 0.000 Sn
```

Summary:
The value obtained for the density is 6.804 g/cm3. The density of states at the Fermi level comes out at 4.122 states/eV/f.u. For the total magnetic moment, the calculation gives 0.00 Bohr magnetons per cell. The symmetry is No. 121.

---

Looking at energy relative to the elements for the records above, in order, we have -396, -275, -431, -263, 41, 76, 60, 44, 43, 61 meV/atom.